# BeB2RuRh | the Alexandria database | PBE-GGA | optimized geometry
data_BeB2RuRh
_space_group_name_H-M_alt 'P 4/m m m'
_space_group_IT_number 123
_space_group_name_Hall '-P 4 2'
_cell_length_a 3.931
_cell_length_b 3.931
_cell_length_c 4.085
_cell_angle_alpha 90.00
_cell_angle_beta 90.00
_cell_angle_gamma 90.00
loop_
_atom_site_label
_atom_site_fract_x
_atom_site_fract_y
_atom_site_fract_z
_atom_site_occupancy
Be1 0.000 0.000 0.000 1
B1 0.000 0.500 0.500 1
Ru1 0.000 0.000 0.500 1
Rh1 0.500 0.500 0.000 1
# M_tot in μB per cell: 0.001
# Energy of formation in eV/atom: 0.869
# D(E_F) in states/eV/atom: 0.774